Material: Na3IrI
Method: DFT, PBE
State: relaxed

Cell lengths 5.687, 5.687, 5.687 Å; angles 90.00, 90.00, 90.00 degrees
Site moments in Bohr magnetons follow the coordinates.
Atoms (fractional coordinates):
Ir 0.500 0.500 0.500  1.15
Na 0.000 0.000 0.500  -0.01
Na 0.000 0.500 0.000  -0.01
I 0.000 0.000 0.000  -0.01
Na 0.500 0.000 0.000  0.00

Results
**DOS at the Fermi energy**: 1.2581 states/eV/atom
**Formation energy without anion corrections**: 0.56 eV/atom
**Distance to the lowest polymorph of the same formula**: 282 meV/atom
**Crystal system**: cubic